# 1
The following is a GGA-PBE calculation of La2SmHg3 after structural relaxation, from Alexandria via LeMat-Bulk.

**SG**: P4/mmm
**Size of the total moment**: 1.11 μB per cell
**N(E_F)**: 1.230 states/eV per atom

a = 3.8602 Å, b = 3.8602 Å, c = 11.6935 Å
α = 90.00°, β = 90.00°, γ = 90.00°
Last column: nearest neighbours and their distance in Å.
Sites, in units of the cell vectors:
Hg: 0.0000 0.0000 0.0000  8 La 3.38
Hg: 0.0000 0.0000 0.3449  4 Sm 3.28, 4 La 3.41, 1 Hg 3.63
Hg: 0.0000 0.0000 0.6551  4 Sm 3.28, 4 La 3.41, 1 Hg 3.63
La: 0.5000 0.5000 0.8294  8 Hg 3.38-3.41
La: 0.5000 0.5000 0.1706  8 Hg 3.38-3.41
Sm: 0.5000 0.5000 0.5000  8 Hg 3.28


# 2
The following is a GGA-PBE calculation of TbPmC after structural relaxation, from Alexandria via LeMat-Bulk.

**SG**: P3m1
**Size of the total moment**: 0.00 μB per cell
**N(E_F)**: 0.851 states/eV per atom
**Excess energy over the best structure of this formula in the dataset**: 12 meV/atom

a = 6.4839 Å, b = 3.6169 Å, c = 3.6169 Å
α = 120.00°, β = 90.00°, γ = 90.00°
Last column: nearest neighbours and their distance in Å.
Sites, in units of the cell vectors:
C: 0.3264 0.3333 0.6667  3 Tb 2.47, 3 Pm 2.54
Pm: 0.5501 0.6667 0.3333  3 C 2.54
Tb: 0.1235 0.0000 0.0000  3 C 2.47


# 3
The following is a GGA-PBE calculation of BaTiSe2F after structural relaxation, from Alexandria via LeMat-Bulk.

**SG**: P4/mmm
**Size of the total moment**: 0.94 μB per cell
**N(E_F)**: 0.493 states/eV per atom

a = 5.2370 Å, b = 5.2370 Å, c = 4.1647 Å
α = 90.00°, β = 90.00°, γ = 90.00°
Last column: nearest neighbours and their distance in Å.
Sites, in units of the cell vectors:
Se: 0.0000 0.5000 0.0000  2 Ti 2.62
Se: 0.5000 0.0000 0.0000  2 Ti 2.62
Ti: 0.0000 0.0000 0.0000  2 F 2.08
Ba: 0.5000 0.5000 0.5000  8 Se 3.35, 4 F 3.70
F: 0.0000 0.0000 0.5000  2 Ti 2.08


# 4
The following is a GGA-PBE calculation of Y2SiTe after structural relaxation, from Alexandria via LeMat-Bulk.

**SG**: R-3m
**Size of the total moment**: 0.00 μB per cell
**N(E_F)**: 0.207 states/eV per atom
**Excess energy over the best structure of this formula in the dataset**: 0 meV/atom

a = 4.2255 Å, b = 4.2255 Å, c = 7.5165 Å
α = 73.64°, β = 73.64°, γ = 60.00°
Last column: nearest neighbours and their distance in Å.
Sites, in units of the cell vectors:
Y: 0.9896 0.9896 0.0314  3 Si 2.89, 3 Te 3.15-3.16
Y: 0.5104 0.5104 0.4686  3 Si 2.89, 3 Te 3.15-3.16
Si: 0.2500 0.2500 0.2500  6 Y 2.89
Te: 0.7500 0.7500 0.7500  6 Y 3.15-3.16


In order of appearance, total DFT energy (no corrections) = -3.07 -6.38 -5.77 -6.50 eV/atom.